[1]
DFT (GGA-PBE) results for an optimized crystal structure of TlPbO3.

abc: 4.2337 4.2337 4.2337
angles: 90.00 90.00 90.00
Atoms (fractional coordinates):
Pb 0.5000 0.5000 0.5000
Tl 0.0000 0.0000 0.0000
O 0.0000 0.5000 0.0000
O 0.0000 0.0000 0.5000
O 0.5000 0.0000 0.0000

Space group   Pm-3m
Raw formation energy   -0.378 eV/atom

***

[2]
DFT (GGA-PBE) results for an optimized crystal structure of MnOs3.

abc: 2.6938 2.6938 7.5252
angles: 90.00 90.00 90.00
Each line ends with the local moment (μB).
Atoms (fractional coordinates):
Mn 0.0000 0.0000 0.0000  1.21
Os 0.0000 0.0000 0.5000  0.04
Os 0.5000 0.5000 0.2408  -0.12
Os 0.5000 0.5000 0.7592  -0.12

Space group   P4/mmm
Calculated formation energy   0.1292 eV per atom

***

[3]
DFT (GGA-PBE) results for an optimized crystal structure of K3ZnHg.

abc: 6.4909 6.4909 6.4909
angles: 90.00 90.00 90.00
Atoms (fractional coordinates):
K 0.0000 0.5000 0.0000
K 0.0000 0.0000 0.5000
K 0.5000 0.0000 0.0000
Zn 0.0000 0.0000 0.0000
Hg 0.5000 0.5000 0.5000

Space group   Pm-3m
Calculated formation energy   0.1353 eV per atom
Excess energy over the best structure of this formula in the dataset   0.00 eV per formula unit

***

[4]
DFT (GGA-PBE) results for an optimized crystal structure of Hg3Pb2.

abc: 9.7095 8.5576 6.4073
angles: 79.48 60.06 40.45
Atoms (fractional coordinates):
Hg 0.7472 0.4551 0.3444
Hg 0.4533 0.3444 0.4551
Hg 0.7949 0.5028 0.7967
Hg 0.9056 0.7967 0.5028
Hg 0.0347 0.9653 0.9653
Hg 0.2847 0.2153 0.2153
Pb 0.2264 0.8876 0.3476
Pb 0.5384 0.3476 0.8876
Pb 0.3624 0.0236 0.7116
Pb 0.9024 0.7116 0.0236

Space group   Fdd2
Calculated formation energy   0.0409 eV per atom
Excess energy over the best structure of this formula in the dataset   0.06 eV per formula unit

***

[5]
DFT (GGA-PBE) results for an optimized crystal structure of PaCuRe2.

abc: 3.9527 4.1364 4.1364
angles: 90.00 90.00 90.00
Atoms (fractional coordinates):
Re 0.0000 0.0000 0.5000
Re 0.0000 0.5000 0.0000
Pa 0.5000 0.0000 0.0000
Cu 0.5000 0.5000 0.5000

Space group   P4/mmm
Calculated formation energy   0.1525 eV per atom

***

[6]
DFT (GGA-PBE) results for an optimized crystal structure of Na5B7C3.

abc: 12.9366 12.9366 8.5681
angles: 90.00 90.00 167.45
Atoms (fractional coordinates):
Na 0.2012 0.7988 0.9958
Na 0.2012 0.7988 0.5042
Na 0.3992 0.6008 0.0002
Na 0.3992 0.6008 0.4998
Na 0.9986 0.0014 0.0000
Na 0.9986 0.0014 0.5000
Na 0.5998 0.4002 0.9972
Na 0.5998 0.4002 0.5028
Na 0.8008 0.1992 0.9962
Na 0.8008 0.1992 0.5038
B 0.2694 0.7306 0.7500
B 0.7302 0.2698 0.7500
B 0.2702 0.7298 0.2500
B 0.9332 0.0668 0.7500
B 0.4584 0.5416 0.2500
B 0.5263 0.4737 0.2500
B 0.0664 0.9336 0.7500
B 0.5267 0.4733 0.7500
B 0.0695 0.9305 0.2500
B 0.1347 0.8653 0.2500
B 0.1360 0.8640 0.7500
B 0.6781 0.3219 0.2500
B 0.3388 0.6612 0.7500
B 0.8638 0.1362 0.2500
C 0.7383 0.2617 0.2500
C 0.9271 0.0729 0.2500
C 0.4643 0.5357 0.7500
C 0.6671 0.3329 0.7500
C 0.3326 0.6674 0.2500
C 0.8697 0.1303 0.7500

Space group   Amm2
Calculated formation energy   0.1230 eV per atom
Excess energy over the best structure of this formula in the dataset   0.15 eV per formula unit

***

[7]
DFT (GGA-PBE) results for an optimized crystal structure of Sc2CuBiC.

abc: 4.6356 4.6356 4.0600
angles: 90.00 90.00 90.00
Atoms (fractional coordinates):
Sc 0.0000 0.5000 0.0000
Sc 0.5000 0.0000 0.0000
C 0.0000 0.0000 0.0000
Bi 0.5000 0.5000 0.5000
Cu 0.0000 0.0000 0.5000

Space group   P4/mmm
Calculated formation energy   -0.3819 eV per atom

***

[8]
DFT (GGA-PBE) results for an optimized crystal structure of La8Pr3Er3.

abc: 5.8085 9.9552 9.9552
angles: 102.47 73.03 73.03
Atoms (fractional coordinates):
La 0.6591 0.1163 0.5651
La 0.3409 0.8837 0.4349
La 0.6591 0.5651 0.1163
La 0.3409 0.4349 0.8837
La 0.8374 0.7679 0.5586
La 0.1626 0.2321 0.4414
La 0.8374 0.5586 0.7679
La 0.1626 0.4414 0.2321
Pr 0.5000 0.0000 0.0000
Pr 0.0000 0.8225 0.1775
Pr 0.0000 0.1775 0.8225
Er 0.5000 0.5000 0.5000
Er 0.8002 0.1996 0.1996
Er 0.1998 0.8004 0.8004

Space group   Immm
Calculated formation energy   0.0861 eV per atom

***

[9]
DFT (GGA-PBE) results for an optimized crystal structure of LiIn3Ag5.

abc: 7.2138 7.2138 9.0084
angles: 113.60 113.60 90.00
Atoms (fractional coordinates):
Li 0.7500 0.2500 0.5000
Li 0.2500 0.7500 0.5000
In 0.6324 0.1324 0.0000
In 0.3676 0.8676 0.0000
In 0.8676 0.6324 0.0000
In 0.1324 0.3676 0.0000
In 0.2500 0.2500 0.5000
In 0.7500 0.7500 0.5000
Ag 0.0713 0.5713 0.6883
Ag 0.6170 0.1170 0.6883
Ag 0.1170 0.0713 0.6883
Ag 0.5713 0.6170 0.6883
Ag 0.9287 0.4287 0.3117
Ag 0.3830 0.8830 0.3117
Ag 0.8830 0.9287 0.3117
Ag 0.4287 0.3830 0.3117
Ag 0.5000 0.5000 0.0000
Ag 0.0000 0.0000 0.0000

Space group   I4/mcm
Calculated formation energy   0.0867 eV per atom
Excess energy over the best structure of this formula in the dataset   1.31 eV per formula unit

***

[10]
DFT (GGA-PBE) results for an optimized crystal structure of Sb2Te4P.

abc: 13.2370 13.2370 13.2370
angles: 18.85 18.85 18.85
Atoms (fractional coordinates):
Sb 0.4221 0.4221 0.4221
Sb 0.5779 0.5779 0.5779
Te 0.1325 0.1325 0.1325
Te 0.8675 0.8675 0.8675
Te 0.2951 0.2951 0.2951
Te 0.7049 0.7049 0.7049
P 0.0000 0.0000 0.0000

Space group   R-3m
Raw formation energy   0.059 eV/atom

***

[11]
DFT (GGA-PBE) results for an optimized crystal structure of Ge3SCl4.

abc: 6.7009 8.3618 10.9918
angles: 119.48 90.00 113.62
Atoms (fractional coordinates):
Ge 0.7064 0.3044 0.8579
Ge 0.5980 0.3044 0.3579
Ge 0.3601 0.6592 0.6114
Ge 0.2992 0.6592 0.1114
Ge 0.9683 0.8779 0.7905
Ge 0.9096 0.8779 0.2905
S 0.7227 0.9793 0.7157
S 0.2566 0.9793 0.2157
Cl 0.2832 0.2027 0.9379
Cl 0.9195 0.2027 0.4379
Cl 0.5525 0.4013 0.5938
Cl 0.8488 0.4013 0.0938
Cl 0.1314 0.5397 0.8707
Cl 0.4083 0.5397 0.3707
Cl 0.1192 0.8151 0.5718
Cl 0.6958 0.8151 0.0718

Space group   Cc
Raw formation energy   -0.617 eV/atom

***

[12]
DFT (GGA-PBE) results for an optimized crystal structure of CoMo12Se16.

abc: 9.3364 9.4592 9.5706
angles: 62.04 62.16 61.64
Each line ends with the local moment (μB).
Atoms (fractional coordinates):
Co 0.2980 0.1986 0.8651  1.06
Mo 0.1303 0.4562 0.3213  0.04
Mo 0.3205 0.1338 0.4447  -0.01
Mo 0.0493 0.1912 0.3615  0.02
Mo 0.4464 0.3220 0.1360  0.02
Mo 0.1744 0.3757 0.0519  0.05
Mo 0.3728 0.0480 0.1717  -0.03
Mo 0.6343 0.9503 0.8178  0.02
Mo 0.8215 0.6319 0.9470  0.00
Mo 0.5452 0.6836 0.8678  0.00
Mo 0.9544 0.8176 0.6303  0.01
Mo 0.6803 0.8691 0.5492  0.02
Mo 0.8653 0.5495 0.6814  -0.01
Se 0.1255 0.4866 0.7574  0.01
Se 0.0021 0.2598 0.6118  0.00
Se 0.3910 0.3902 0.3898  0.00
Se 0.2437 0.6240 0.0107  0.00
Se 0.2499 0.8839 0.4842  0.00
Se 0.6191 0.0018 0.2589  0.00
Se 0.1060 0.0952 0.1215  0.03
Se 0.5149 0.2392 0.8827  0.01
Se 0.5066 0.7529 0.1139  0.00
Se 0.9014 0.8853 0.8806  0.00
Se 0.3726 0.9989 0.7402  0.02
Se 0.7593 0.1160 0.5064  0.00
Se 0.7418 0.3840 0.9935  0.00
Se 0.5995 0.6143 0.6164  -0.01
Se 0.9965 0.7428 0.3873  0.00
Se 0.8768 0.5049 0.2413  0.00

Space group   P1
Raw formation energy   -0.498 eV/atom

***

Number 1: calculated volume 75.9 Å³ per cell. Number 2: calculated volume 54.6 Å³ per cell. Number 3: calculated volume 273.5 Å³ per cell. Number 4: calculated volume 280.3 Å³ per cell. Number 5: calculated volume 67.6 Å³ per cell. Number 6: calculated volume 311.6 Å³ per cell. Number 7: calculated volume 87.2 Å³ per cell. Number 8: calculated volume 497.3 Å³ per cell. Number 9: calculated volume 386.4 Å³ per cell. Number 10: calculated volume 211.5 Å³ per cell. Number 11: calculated volume 476.0 Å³ per cell. Number 12: calculated volume 623.7 Å³ per cell.